Here is MnRu3Se after structural relaxation from the Alexandria database. Energies are from PBE.

Unit cell a=4.4286 b=4.4286 c=4.4286 alpha=90.00 beta=90.00 gamma=90.00
Space group Pm-3m (No. 221)
Symmetry-distinct sites (fractional):
Mn 0.0000 0.0000 0.0000 x1
Ru 0.0000 0.0000 0.5000 x3
Se 0.5000 0.5000 0.5000 x1


Here is MnRu2Se after structural relaxation from the Alexandria database. Energies are from PBE.

Unit cell a=2.9277 b=4.7347 c=8.6072 alpha=90.00 beta=90.00 gamma=90.00
Space group Cmmm (No. 65)
Symmetry-distinct sites (fractional):
Mn 0.0000 0.0000 0.0000 x2
Ru 0.0000 0.5000 0.2383 x4
Se 0.0000 0.0000 0.5000 x2


Here is MnRuSe4 after structural relaxation from the Alexandria database. Energies are from PBE.

Unit cell a=7.9211 b=7.9211 c=7.9211 alpha=90.00 beta=90.00 gamma=90.00
Space group F-43m (No. 216)
Symmetry-distinct sites (fractional):
Mn 0.0000 0.0000 0.0000 x4
Ru 0.2500 0.2500 0.2500 x4
Se 0.1247 0.1247 0.6247 x16


Calculated M_tot (μB per atom), listed in the same order as above: 0.000 0.876 1.227
Calculated raw formation energy (meV per atom), listed in the same order as above: 1338 492 1069